1.
Computed, not measured: crystalline LiLa2 at its relaxed geometry at the PBEsol level of DFT.

Cell and atoms, written as CIF:
```
data_LiLa2
_chemical_formula_sum 'Li2 La4'
_symmetry_space_group_name_H-M 'P 1'
_symmetry_Int_Tables_number 1
_cell_length_a 3.6326
_cell_length_b 6.3459
_cell_length_c 8.4297
_cell_angle_alpha 109.13
_cell_angle_beta 90.00
_cell_angle_gamma 106.63
loop_
_symmetry_equiv_pos_as_xyz
'x,y,z'
loop_
_atom_site_label
_atom_site_type_symbol
_atom_site_fract_x
_atom_site_fract_y
_atom_site_fract_z
_atom_site_occupancy
La1 La 0.9695 0.9390 0.2610 1
La2 La 0.0305 0.0610 0.7390 1
Li1 Li 0.3157 0.6314 0.4509 1
La3 La 0.6656 0.3311 0.1061 1
La4 La 0.3344 0.6689 0.8939 1
Li2 Li 0.6843 0.3686 0.5491 1
```

Calculated values
excess energy over the best structure of this formula in the dataset = 0.00 kcal/mol of atoms
space-group type = No. 12
energy relative to the elements = 0.0654 eV/atom

2.
Computed, not measured: crystalline AlCdRu4 at its relaxed geometry at the PBEsol level of DFT.

Cell and atoms, written as CIF:
```
data_AlCdRu4
_chemical_formula_sum 'Al1 Cd1 Ru4'
_symmetry_space_group_name_H-M 'P 1'
_symmetry_Int_Tables_number 1
_cell_length_a 5.0620
_cell_length_b 5.0620
_cell_length_c 5.0620
_cell_angle_alpha 60.00
_cell_angle_beta 60.00
_cell_angle_gamma 60.00
loop_
_symmetry_equiv_pos_as_xyz
'x,y,z'
loop_
_atom_site_label
_atom_site_type_symbol
_atom_site_fract_x
_atom_site_fract_y
_atom_site_fract_z
_atom_site_occupancy
Ru1 Ru 0.6248 0.6248 0.1257 1
Ru2 Ru 0.1257 0.6248 0.6248 1
Ru3 Ru 0.6248 0.1257 0.6248 1
Cd1 Cd 0.0000 0.0000 0.0000 1
Al1 Al 0.2500 0.2500 0.2500 1
Ru4 Ru 0.6248 0.6248 0.6248 1
```

Calculated values
space-group type = No. 216
energy relative to the elements = 0.4023 eV/atom

3.
Computed, not measured: crystalline MgRhC3 at its relaxed geometry at the PBEsol level of DFT.

Cell and atoms, written as CIF:
```
data_MgRhC3
_chemical_formula_sum 'Mg1 Rh1 C3'
_symmetry_space_group_name_H-M 'P 1'
_symmetry_Int_Tables_number 1
_cell_length_a 3.9518
_cell_length_b 3.9518
_cell_length_c 3.9518
_cell_angle_alpha 90.00
_cell_angle_beta 90.00
_cell_angle_gamma 90.00
loop_
_symmetry_equiv_pos_as_xyz
'x,y,z'
loop_
_atom_site_label
_atom_site_type_symbol
_atom_site_fract_x
_atom_site_fract_y
_atom_site_fract_z
_atom_site_occupancy
Mg1 Mg 0.5000 0.5000 0.5000 1
C1 C 0.5000 0.0000 0.0000 1
Rh1 Rh 0.0000 0.0000 0.0000 1
C2 C 0.0000 0.5000 0.0000 1
C3 C 0.0000 0.0000 0.5000 1
```

Calculated values
space-group type = No. 221
energy relative to the elements = 1.9557 eV/atom

4.
Computed, not measured: crystalline TaNb3H at its relaxed geometry at the PBEsol level of DFT.

Cell and atoms, written as CIF:
```
data_TaNb3H
_chemical_formula_sum 'Ta1 Nb3 H1'
_symmetry_space_group_name_H-M 'P 1'
_symmetry_Int_Tables_number 1
_cell_length_a 4.2078
_cell_length_b 4.2078
_cell_length_c 4.2078
_cell_angle_alpha 90.00
_cell_angle_beta 90.00
_cell_angle_gamma 90.00
loop_
_symmetry_equiv_pos_as_xyz
'x,y,z'
loop_
_atom_site_label
_atom_site_type_symbol
_atom_site_fract_x
_atom_site_fract_y
_atom_site_fract_z
_atom_site_occupancy
H1 H 0.0000 0.0000 0.0000 1
Nb1 Nb 0.0000 0.0000 0.5000 1
Ta1 Ta 0.5000 0.5000 0.5000 1
Nb2 Nb 0.0000 0.5000 0.0000 1
Nb3 Nb 0.5000 0.0000 0.0000 1
```

Calculated values
space-group type = No. 221

5.
Computed, not measured: crystalline Mg2TaAg at its relaxed geometry at the PBEsol level of DFT.

Cell and atoms, written as CIF:
```
data_Mg2TaAg
_chemical_formula_sum 'Mg2 Ta1 Ag1'
_symmetry_space_group_name_H-M 'P 1'
_symmetry_Int_Tables_number 1
_cell_length_a 4.1710
_cell_length_b 4.1563
_cell_length_c 4.1563
_cell_angle_alpha 90.00
_cell_angle_beta 90.00
_cell_angle_gamma 90.00
loop_
_symmetry_equiv_pos_as_xyz
'x,y,z'
loop_
_atom_site_label
_atom_site_type_symbol
_atom_site_fract_x
_atom_site_fract_y
_atom_site_fract_z
_atom_site_occupancy
Mg1 Mg 0.0000 0.5000 0.0000 1
Ag1 Ag 0.5000 0.0000 0.0000 1
Mg2 Mg 0.0000 0.0000 0.5000 1
Ta1 Ta 0.5000 0.5000 0.5000 1
```

Calculated values
excess energy over the best structure of this formula in the dataset = 6.44 kcal/mol of atoms
space-group type = No. 123
energy relative to the elements = 0.3520 eV/atom

6.
Computed, not measured: crystalline LiIBrCl2 at its relaxed geometry at the PBEsol level of DFT.

Cell and atoms, written as CIF:
```
data_LiIBrCl2
_chemical_formula_sum 'Li1 I1 Br1 Cl2'
_symmetry_space_group_name_H-M 'P 1'
_symmetry_Int_Tables_number 1
_cell_length_a 5.1555
_cell_length_b 5.1555
_cell_length_c 5.9825
_cell_angle_alpha 90.00
_cell_angle_beta 90.00
_cell_angle_gamma 90.00
loop_
_symmetry_equiv_pos_as_xyz
'x,y,z'
loop_
_atom_site_label
_atom_site_type_symbol
_atom_site_fract_x
_atom_site_fract_y
_atom_site_fract_z
_atom_site_occupancy
Cl1 Cl 0.5000 0.0000 0.0000 1
I1 I 0.0000 0.0000 0.5000 1
Cl2 Cl 0.0000 0.5000 0.0000 1
Br1 Br 0.0000 0.0000 0.0000 1
Li1 Li 0.5000 0.5000 0.5000 1
```

Calculated values
space-group type = No. 123

7.
Computed, not measured: crystalline TcOs at its relaxed geometry at the PBEsol level of DFT.

Cell and atoms, written as CIF:
```
data_TcOs
_chemical_formula_sum 'Tc3 Os3'
_symmetry_space_group_name_H-M 'P 1'
_symmetry_Int_Tables_number 1
_cell_length_a 2.7281
_cell_length_b 5.1114
_cell_length_c 6.3983
_cell_angle_alpha 103.15
_cell_angle_beta 90.00
_cell_angle_gamma 105.48
loop_
_symmetry_equiv_pos_as_xyz
'x,y,z'
loop_
_atom_site_label
_atom_site_type_symbol
_atom_site_fract_x
_atom_site_fract_y
_atom_site_fract_z
_atom_site_occupancy
Tc1 Tc 0.6673 0.3346 0.3327 1
Os1 Os 0.9993 0.9987 0.9995 1
Os2 Os 0.3896 0.7791 0.2779 1
Os3 Os 0.3334 0.6669 0.6671 1
Tc2 Tc 0.7226 0.4452 0.9456 1
Tc3 Tc 0.0544 0.1088 0.6107 1
```

Calculated values
excess energy over the best structure of this formula in the dataset = 0.26 kcal/mol of atoms
space-group type = No. 8
energy relative to the elements = -0.0849 eV/atom

8.
Computed, not measured: crystalline OsRhIN2 at its relaxed geometry at the PBEsol level of DFT.

Cell and atoms, written as CIF:
```
data_OsRhIN2
_chemical_formula_sum 'Os1 Rh1 I1 N2'
_symmetry_space_group_name_H-M 'P 1'
_symmetry_Int_Tables_number 1
_cell_length_a 3.7554
_cell_length_b 3.7554
_cell_length_c 5.8606
_cell_angle_alpha 90.00
_cell_angle_beta 90.00
_cell_angle_gamma 90.00
loop_
_symmetry_equiv_pos_as_xyz
'x,y,z'
loop_
_atom_site_label
_atom_site_type_symbol
_atom_site_fract_x
_atom_site_fract_y
_atom_site_fract_z
_atom_site_occupancy
N1 N 0.5000 0.0000 0.0000 1
I1 I 0.0000 0.0000 0.5000 1
Os1 Os 0.0000 0.0000 0.0000 1
Rh1 Rh 0.5000 0.5000 0.5000 1
N2 N 0.0000 0.5000 0.0000 1
```

Calculated values
excess energy over the best structure of this formula in the dataset = 0.00 kcal/mol of atoms
space-group type = No. 123

Which M_tot belongs to each record? In order, 0.00, 0.94, 0.00, 0.00, 0.00, 0.00, 0.00, 0.78 Bohr magnetons per cell.
Which raw total energy belongs to each record? In order, -4.1543, -7.2607, -5.8016, -9.5203, -4.4721, -2.1792, -11.8261, -6.8961 eV per atom.
Which volume belongs to each record? In order, 29.160, 15.286, 12.343, 14.900, 18.013, 31.802, 13.926, 16.530 A^3/atom.